Computed, not measured: a relaxed structure of NpCrSiO6 at the GGA+U level of DFT.

The structure in CIF format:
```
data_NpCrSiO6
_cell_length_a 4.671
_cell_length_b 4.671
_cell_length_c 9.115
_cell_angle_alpha 90.00
_cell_angle_beta 90.00
_cell_angle_gamma 90.00
_space_group_name_H-M_alt 'P 1'
_space_group_IT_number 1
_space_group_name_Hall 'P 1'
loop_
_atom_site_label
_atom_site_fract_x
_atom_site_fract_y
_atom_site_fract_z
Np1 0.000 0.000 0.000
Np2 0.500 0.500 0.500
Cr1 0.000 0.000 0.333
Cr2 0.500 0.500 0.833
Si1 0.000 0.000 0.665
Si2 0.500 0.500 0.165
O1 0.175 0.175 0.514
O2 0.190 0.190 0.810
O3 0.218 0.218 0.171
O4 0.282 0.718 0.671
O5 0.310 0.690 0.310
O6 0.325 0.675 0.014
O7 0.675 0.325 0.014
O8 0.690 0.310 0.310
O9 0.718 0.282 0.671
O10 0.782 0.782 0.171
O11 0.810 0.810 0.810
O12 0.825 0.825 0.514
```

Summary:
Energy, eV/f.u.: -77.62
Space-group type: P4_2nm, No. 102